1.
ZrHgBi after structural relaxation, computed with GGA-PBE.

Computed properties:
Magnetization ... 0.0 μB/cell
Energy of formation from the pure elements ... -0.107 eV per atom
Raw total energy ... -4.35 eV/atom
Relative energy among the computed polymorphs ... 0.1281 eV/atom

Cell and atoms, written as POSCAR:
```
ZrHgBi
1.0
3.318 0.000 0.000
0.000 5.452 0.000
-1.629 0.000 8.233
Zr Hg Bi
2 2 2
direct
0.090 0.000 0.183
0.910 0.500 0.817
0.254 0.337 0.507
0.746 0.837 0.493
0.430 0.992 0.855
0.570 0.492 0.145
```



2.
KLi2Y after structural relaxation, computed with GGA-PBE.

Computed properties:
Magnetization ... 0.0 μB/cell
Energy of formation from the pure elements ... 0.464 eV per atom
Raw total energy ... -2.38 eV/atom

Cell and atoms, written as POSCAR:
```
KLi2Y
1.0
3.632 0.000 0.000
0.000 5.760 0.000
0.000 0.000 6.473
K Li Y
1 2 1
direct
0.000 0.000 0.000
0.000 0.500 0.500
0.500 0.500 0.000
0.500 0.000 0.500
```